Entry 1:
Material: Dy2AgTe3
Method: DFT, PBE
State: optimized geometry

Unit cell a=4.401 b=6.108 c=7.842 alpha=112.92 beta=90.00 gamma=90.00
Positions (direct):
Dy  0.500  0.354  0.709
Dy  0.500  0.646  0.291
Ag  0.000  0.000  0.000
Te  0.500  0.853  0.706
Te  0.500  0.147  0.294
Te  0.000  0.500  0.000

Computed properties:
Formation energy without anion corrections, eV per atom: -0.822
Calculated volume, Å³ per cell: 194



Entry 2:
Material: Dy4AgTe5
Method: DFT, PBE
State: optimized geometry

Unit cell a=4.271 b=9.180 c=9.821 alpha=105.42 beta=102.56 gamma=90.00
Positions (direct):
Dy  0.328  0.915  0.657
Dy  0.002  0.736  0.004
Dy  0.672  0.085  0.343
Dy  0.998  0.264  0.996
Ag  0.500  0.000  0.000
Te  0.844  0.695  0.688
Te  0.835  0.163  0.669
Te  0.165  0.837  0.331
Te  0.500  0.500  0.000
Te  0.156  0.305  0.312

Computed properties:
Formation energy without anion corrections, eV per atom: -1.025
Calculated volume, Å³ per cell: 362



Entry 3:
Material: Dy5AgTe4
Method: DFT, PBE
State: optimized geometry

Unit cell a=6.157 b=7.498 c=7.498 alpha=80.30 beta=65.76 gamma=65.76
Positions (direct):
Dy  0.901  0.386  0.814
Dy  0.287  0.814  0.614
Dy  0.715  0.186  0.386
Dy  0.101  0.614  0.186
Dy  0.501  0.000  0.000
Ag  0.001  0.000  0.000
Te  0.409  0.398  0.787
Te  0.807  0.787  0.602
Te  0.195  0.213  0.398
Te  0.593  0.602  0.213

Computed properties:
Formation energy without anion corrections, eV per atom: -1.082
Calculated volume, Å³ per cell: 288



Entry 4:
Material: Dy2AgTe
Method: DFT, PBE
State: optimized geometry

Unit cell a=4.188 b=4.188 c=7.876 alpha=74.58 beta=74.58 gamma=60.00
Positions (direct):
Dy  0.077  0.077  0.769
Dy  0.257  0.257  0.230
Ag  0.667  0.667  0.998
Te  0.499  0.499  0.503

Computed properties:
Formation energy without anion corrections, eV per atom: -0.682
Calculated volume, Å³ per cell: 114
Polymorph energy (0 for the lowest one), meV per atom: 105



Entry 5:
Material: Dy6AgTe5
Method: DFT, PBE
State: optimized geometry

Unit cell a=7.529 b=7.529 c=7.519 alpha=99.64 beta=99.64 gamma=119.98
Positions (direct):
Te  0.824  0.176  0.500
Te  0.664  0.336  0.000
Te  0.500  0.500  0.500
Te  0.336  0.664  0.000
Te  0.176  0.824  0.500
Ag  0.000  0.000  0.000
Dy  0.394  0.077  0.236
Dy  0.923  0.606  0.764
Dy  0.233  0.233  0.754
Dy  0.767  0.767  0.246
Dy  0.077  0.394  0.236
Dy  0.606  0.923  0.764

Computed properties:
Formation energy without anion corrections, eV per atom: -1.130
Calculated volume, Å³ per cell: 348



Entry 6:
Material: DyAgTe2
Method: DFT, PBE
State: optimized geometry

Unit cell a=4.497 b=4.497 c=7.350 alpha=90.00 beta=90.00 gamma=120.00
Positions (direct):
Te  0.333  0.667  0.235
Te  0.667  0.333  0.769
Ag  0.333  0.667  0.613
Dy  0.000  0.000  0.014

Computed properties:
Formation energy without anion corrections, eV per atom: -0.894
Calculated volume, Å³ per cell: 129



Entry 7:
Material: Dy2AgTe
Method: DFT, PBE
State: optimized geometry

Unit cell a=4.485 b=4.110 c=11.983 alpha=99.87 beta=90.00 gamma=90.00
Positions (direct):
Dy  0.750  0.672  0.343
Dy  0.250  0.328  0.657
Dy  0.750  0.937  0.874
Dy  0.250  0.063  0.126
Ag  0.250  0.459  0.919
Ag  0.750  0.541  0.081
Te  0.250  0.195  0.390
Te  0.750  0.805  0.610

Computed properties:
Formation energy without anion corrections, eV per atom: -0.787
Calculated volume, Å³ per cell: 218
Polymorph energy (0 for the lowest one), meV per atom: 0



Entry 8:
Material: DyAg3Te3
Method: DFT, PBE
State: optimized geometry

Unit cell a=7.862 b=7.862 c=8.624 alpha=62.88 beta=62.88 gamma=60.00
Positions (direct):
Dy  0.332  0.332  0.003
Dy  0.668  0.668  0.997
Ag  0.488  0.774  0.614
Ag  0.774  0.124  0.614
Ag  0.124  0.488  0.614
Ag  0.876  0.512  0.386
Ag  0.226  0.876  0.386
Ag  0.512  0.226  0.386
Te  0.249  0.605  0.220
Te  0.926  0.249  0.220
Te  0.605  0.926  0.220
Te  0.395  0.074  0.780
Te  0.074  0.751  0.780
Te  0.751  0.395  0.780

Computed properties:
Formation energy without anion corrections, eV per atom: -0.544
Calculated volume, Å³ per cell: 393



Entry 9:
Material: Dy4AgTe2
Method: DFT, PBE
State: optimized geometry

Unit cell a=8.180 b=8.180 c=8.203 alpha=109.93 beta=109.61 gamma=108.77
Positions (direct):
Dy  0.943  0.243  0.301
Dy  0.307  0.508  0.199
Dy  0.941  0.642  0.699
Dy  0.758  0.057  0.699
Dy  0.358  0.059  0.301
Dy  0.309  0.108  0.801
Dy  0.492  0.693  0.801
Dy  0.892  0.691  0.199
Ag  0.249  0.749  0.500
Ag  0.001  0.001  0.000
Te  0.625  0.375  0.750
Te  0.625  0.875  0.250
Te  0.625  0.375  0.250
Te  0.125  0.375  0.750

Computed properties:
Formation energy without anion corrections, eV per atom: -0.687
Calculated volume, Å³ per cell: 423



Entry 10:
Material: Dy3AgTe
Method: DFT, PBE
State: optimized geometry

Unit cell a=3.717 b=9.175 c=8.572 alpha=104.62 beta=90.00 gamma=90.00
Positions (direct):
Dy  0.750  0.009  0.690
Dy  0.750  0.578  0.688
Dy  0.250  0.991  0.310
Dy  0.250  0.422  0.312
Dy  0.250  0.659  0.061
Dy  0.750  0.341  0.939
Ag  0.250  0.118  0.012
Ag  0.750  0.882  0.988
Te  0.250  0.269  0.604
Te  0.750  0.731  0.396

Computed properties:
Formation energy without anion corrections, eV per atom: -0.370
Calculated volume, Å³ per cell: 283